The following is a DFT calculation (PBE) of crystalline ReNiP2 at its relaxed geometry.

Cell and atoms, written as CIF:
```
data_ReNiP2
_chemical_formula_sum 'Re1 Ni1 P2'
_symmetry_space_group_name_H-M 'P 1'
_symmetry_Int_Tables_number 1
_symmetry_space_group_name_Hall 'P 1'
_cell_length_a 4.093
_cell_length_b 4.093
_cell_length_c 4.659
_cell_angle_alpha 84.55
_cell_angle_beta 84.55
_cell_angle_gamma 42.97
loop_
_atom_site_label
_atom_site_type_symbol
_atom_site_fract_x
_atom_site_fract_y
_atom_site_fract_z
_atom_site_occupancy
Ni1 Ni 0.250 0.250 0.250 1
P1 P 0.023 0.023 0.984 1
P2 P 0.477 0.477 0.516 1
Re1 Re 0.750 0.750 0.750 1
```

**Total energy**: -7.316 eV/atom
**Density of states at the Fermi level**: 2.1 states/eV/cell